Compound: HgMo
Source: the Alexandria database
Functional: GGA-PBE
Structure: relaxed

a b c (Å): 2.9428 2.9428 4.8870
angles (deg): 90.00 90.00 120.00
Last column: nearest neighbours and their distance in Å.
Sites, in units of the cell vectors:
Hg 0.0000 0.0000 0.0000  6 Hg 2.94, 6 Mo 2.98
Mo 0.3333 0.6667 0.5000  6 Mo 2.94, 6 Hg 2.98

## Properties
Formation energy from the elements ... 0.69 eV/atom
SG ... P-6m2, No. 187
Volume ... 18.33 Å³/atom
Relative energy among the computed polymorphs ... 269.7 meV/atom
Spin magnetization ... 0.00 μB/f.u.